# 1
Density functional theory data (SCAN) for KBeNi2 at its PBEsol-relaxed geometry.

Values from the calculation:
- crystal system = tetragonal
- density of states at the Fermi level (states/eV per cell) = 2.11
- ΔH_f (0 K) (meV per atom) = 433.6

The structure in CIF format:
```
data_KBeNi2
_cell_length_a 2.8678
_cell_length_b 2.8678
_cell_length_c 7.2289
_cell_angle_alpha 90.00
_cell_angle_beta 90.00
_cell_angle_gamma 90.00
_symmetry_space_group_name_H-M 'P 1'
_symmetry_Int_Tables_number 1
loop_
_symmetry_equiv_pos_as_xyz
'x,y,z'
loop_
_atom_site_label
_atom_site_type_symbol
_atom_site_fract_x
_atom_site_fract_y
_atom_site_fract_z
_atom_site_occupancy
Ni1 Ni 0.5000 0.5000 0.2794 1
Ni2 Ni 0.0000 0.0000 0.0853 1
K1 K 0.5000 0.5000 0.7523 1
Be1 Be 0.0000 0.0000 0.3831 1
```

=====

# 2
Density functional theory data (SCAN) for TlInTe4 at its PBEsol-relaxed geometry.

Values from the calculation:
- crystal system = cubic
- density of states at the Fermi level (states/eV per cell) = 3.80
- VASP energy (eV for the cell shown) = -254.02

The structure in CIF format:
```
data_TlInTe4
_cell_length_a 6.4297
_cell_length_b 6.4297
_cell_length_c 6.4297
_cell_angle_alpha 60.00
_cell_angle_beta 60.00
_cell_angle_gamma 60.00
_symmetry_space_group_name_H-M 'P 1'
_symmetry_Int_Tables_number 1
loop_
_symmetry_equiv_pos_as_xyz
'x,y,z'
loop_
_atom_site_label
_atom_site_type_symbol
_atom_site_fract_x
_atom_site_fract_y
_atom_site_fract_z
_atom_site_occupancy
Te1 Te 0.3749 0.3749 0.8754 1
Te2 Te 0.8754 0.3749 0.3749 1
Te3 Te 0.3749 0.3749 0.3749 1
Te4 Te 0.3749 0.8754 0.3749 1
Tl1 Tl 0.7500 0.7500 0.7500 1
In1 In 0.0000 0.0000 0.0000 1
```

=====

# 3
Density functional theory data (SCAN) for ScNbO2F at its PBEsol-relaxed geometry.

Values from the calculation:
- crystal system = tetragonal
- density of states at the Fermi level (states/eV per cell) = 3.08
- VASP energy (eV for the cell shown) = -73.67

The structure in CIF format:
```
data_ScNbO2F
_cell_length_a 4.0126
_cell_length_b 4.0126
_cell_length_c 4.1516
_cell_angle_alpha 90.00
_cell_angle_beta 90.00
_cell_angle_gamma 90.00
_symmetry_space_group_name_H-M 'P 1'
_symmetry_Int_Tables_number 1
loop_
_symmetry_equiv_pos_as_xyz
'x,y,z'
loop_
_atom_site_label
_atom_site_type_symbol
_atom_site_fract_x
_atom_site_fract_y
_atom_site_fract_z
_atom_site_occupancy
O1 O 0.0000 0.5000 0.0000 1
O2 O 0.5000 0.0000 0.0000 1
F1 F 0.0000 0.0000 0.5000 1
Sc1 Sc 0.5000 0.5000 0.5000 1
Nb1 Nb 0.0000 0.0000 0.0000 1
```